No. 1
Density functional theory data (PBEsol) for an optimized crystal structure of Ti3MnPd.

abc: 4.3789 4.3789 4.3789
angles: 90.00 90.00 90.00
Atoms (fractional coordinates):
1 Mn 0.0000 0.0000 0.0000
2 Pd 0.5000 0.5000 0.5000
3 Ti 0.0000 0.5000 0.0000
4 Ti 0.0000 0.0000 0.5000
5 Ti 0.5000 0.0000 0.0000

Output
- Symmetry: No. 221
- DOS at the Fermi energy: 7.58 states/eV per cell
- Energy of formation from the pure elements: 301 meV per atom



No. 2
Density functional theory data (PBEsol) for an optimized crystal structure of Ir3Os.

abc: 2.7051 4.6892 4.6892
angles: 109.53 90.00 90.00
Atoms (fractional coordinates):
1 Ir 0.0000 0.0000 0.0000
2 Ir 0.5000 0.0000 0.5000
3 Ir 0.5000 0.5000 0.0000
4 Os 0.0000 0.5000 0.5000

Output
- Symmetry: No. 65
- DOS at the Fermi energy: 3.33 states/eV per cell
- Energy of formation from the pure elements: 27 meV per atom



No. 3
Density functional theory data (PBEsol) for an optimized crystal structure of AsOs2Au.

abc: 2.8751 4.2224 5.4671
angles: 99.47 90.00 109.90
Atoms (fractional coordinates):
1 Os 0.7473 0.4945 0.7124
2 Os 0.2527 0.5055 0.2876
3 As 0.0000 0.0000 0.5000
4 Au 0.5000 0.0000 0.0000

Output
- Symmetry: No. 12
- DOS at the Fermi energy: 2.30 states/eV per cell
- Energy of formation from the pure elements: 537 meV per atom



No. 4
Density functional theory data (PBEsol) for an optimized crystal structure of ThSiS.

abc: 3.8645 3.8645 8.9211
angles: 102.51 102.51 90.00
Atoms (fractional coordinates):
1 S 0.3123 0.3123 0.6246
2 S 0.6877 0.6877 0.3754
3 Si 0.0000 0.5000 0.0000
4 Si 0.5000 0.0000 0.0000
5 Th 0.1391 0.1391 0.2781
6 Th 0.8609 0.8609 0.7219

Output
- Symmetry: No. 139
- Formation energy from raw total energies: -1.405 eV/atom
- DOS at the Fermi energy: 1.17 states/eV per cell



No. 5
Density functional theory data (PBEsol) for an optimized crystal structure of La3TlFe.

abc: 5.1732 5.1732 5.1732
angles: 90.00 90.00 90.00
Atoms (fractional coordinates):
1 Tl 0.5000 0.5000 0.5000
2 Fe 0.0000 0.0000 0.0000
3 La 0.0000 0.5000 0.0000
4 La 0.0000 0.0000 0.5000
5 La 0.5000 0.0000 0.0000

Output
- Symmetry: No. 221
- DOS at the Fermi energy: 5.21 states/eV per cell
- Energy of formation from the pure elements: -200 meV per atom



No. 6
Density functional theory data (PBEsol) for an optimized crystal structure of RhSe2Br.

abc: 3.1036 5.2808 5.2016
angles: 120.50 90.00 90.00
Atoms (fractional coordinates):
1 Br 0.5000 0.0000 0.0000
2 Rh 0.5000 0.5000 0.0000
3 Se 0.0000 0.5000 0.5000
4 Se 0.0000 0.0000 0.5000

Output
- Symmetry: No. 65
- Formation energy from raw total energies: 0.597 eV/atom
- DOS at the Fermi energy: 3.48 states/eV per cell



No. 7
Density functional theory data (PBEsol) for an optimized crystal structure of Li2MoW.

abc: 3.1937 3.1937 6.2788
angles: 90.00 90.00 90.00
Atoms (fractional coordinates):
1 Li 0.0000 0.0000 0.9992
2 Li 0.5000 0.5000 0.2498
3 Mo 0.0000 0.0000 0.5316
4 W 0.5000 0.5000 0.7194

Output
- Symmetry: No. 99
- DOS at the Fermi energy: 3.19 states/eV per cell
- Energy of formation from the pure elements: 505 meV per atom



No. 8
Density functional theory data (PBEsol) for an optimized crystal structure of MgAgTe.

abc: 3.9194 3.9194 5.1696
angles: 112.28 112.28 90.00
Atoms (fractional coordinates):
1 Ag 0.0005 0.0005 0.0011
2 Mg 0.3271 0.3271 0.6541
3 Te 0.6724 0.6724 0.3448

Output
- Symmetry: No. 107
- Formation energy from raw total energies: -0.146 eV/atom
- DOS at the Fermi energy: 1.21 states/eV per cell